Entry 1:
SrIn3Ir2 | PBE-GGA | relaxed

Cell: 6.030 6.030 9.530 Å, 71.56 71.56 60.00°
Atoms (fractional coordinates):
1 In 0.745 0.250 0.755
2 In 0.750 0.255 0.245
3 In 0.250 0.250 0.755
4 In 0.750 0.750 0.245
5 In 0.255 0.750 0.245
6 In 0.250 0.745 0.755
7 Sr 0.801 0.801 0.596
8 Sr 0.199 0.199 0.404
9 Ir 0.000 0.000 0.000
10 Ir 0.500 0.500 0.000
11 Ir 0.000 0.500 0.000
12 Ir 0.500 0.000 0.000

Values from the calculation:
The space group is R-3m, No. 166. The formation enthalpy at 0 K is 0.013 eV per atom. The calculation puts the magnetic moment at 0.0 μB/f.u.

=====

Entry 2:
Tc2AgRu | PBE-GGA | relaxed

Cell: 2.736 2.736 8.138 Å, 90.00 90.00 90.00°
Atoms (fractional coordinates):
1 Ag 0.000 0.000 0.503
2 Ru 0.500 0.500 0.773
3 Tc 0.000 0.000 0.991
4 Tc 0.500 0.500 0.233

Values from the calculation:
The calculation puts the offset from the most stable computed form at 78 meV/atom. The space group is P4mm, No. 99. The formation enthalpy at 0 K is 0.312 eV per atom. The calculation puts the magnetic moment at 0.0 μB/f.u.

=====

Entry 3:
SrDy2ReO8 | PBE-GGA | relaxed

Cell: 5.021 5.006 7.174 Å, 90.00 89.99 90.47°
Last column: magnetic moment on the atom in μB.
Atoms (fractional coordinates):
1 O 0.724 0.729 0.000  0.01
2 O 0.345 0.331 0.500  0.40
3 O 0.276 0.271 0.000  0.01
4 O 0.819 0.187 0.810  0.00
5 O 0.181 0.813 0.810  0.00
6 O 0.655 0.669 0.500  0.40
7 O 0.819 0.187 0.190  0.00
8 O 0.181 0.813 0.190  0.00
9 Sr 0.000 0.000 0.500  0.04
10 Dy 0.500 0.500 0.766  -0.02
11 Dy 0.500 0.500 0.234  -0.02
12 Re 0.000 0.000 0.000  -0.01

Values from the calculation:
The space group is P2/m, No. 10. The uncorrected formation energy comes out at -2.492 eV/atom. The calculation puts the magnetic moment at 1.0 μB/f.u.

=====

no.,Fermi-level density of states (states/eV/cell),E (eV/atom)
1,5.0,-4.591
2,4.7,-7.903
3,1.5,-7.742